VASP calculation (PBE) on an optimized crystal structure of PrDyPtBr.

Cell: 4.133 4.132 8.175 Å, 89.99 104.65 120.00°
Fractional coordinates of all 4 atoms:
Br  0.963  0.380  0.357
Pr  0.503  0.150  0.668
Dy  0.100  0.948  0.064
Pt  0.311  0.554  0.880

Energy   -22.0 eV for the cell shown
Fermi-level density of states   3.6 states/eV/f.u.
ΔE_f (raw)   -118.6 kJ/mol of atoms
Magnetization   0.0 μB per cell


VASP calculation (PBE) on an optimized crystal structure of Pm2NdAg3.

Cell: 3.727 3.727 11.292 Å, 90.00 90.00 90.00°
Fractional coordinates of all 6 atoms:
Ag  0.000  0.000  0.000
Ag  0.000  0.000  0.330
Ag  0.000  0.000  0.670
Nd  0.500  0.500  0.500
Pm  0.500  0.500  0.166
Pm  0.500  0.500  0.834

Energy   -24.4 eV for the cell shown
Fermi-level density of states   4.1 states/eV/f.u.
E_form   -0.268 eV/atom
Magnetization   0.0 μB per cell


VASP calculation (PBE) on an optimized crystal structure of KCa2ScS.

Cell: 6.563 4.865 6.563 Å, 90.00 90.00 90.00°
Fractional coordinates of all 5 atoms:
Ca  0.500  0.000  0.000
Ca  0.000  0.000  0.500
S  0.000  0.500  0.000
K  0.500  0.500  0.500
Sc  0.000  0.000  0.000

Energy   -15.8 eV for the cell shown
Fermi-level density of states   5.7 states/eV/f.u.
ΔE_f (raw)   -5.5 kJ/mol of atoms
Energy relative to the lowest polymorph listed for this composition   1.69 eV per formula unit
Magnetization   0.9 μB per cell


VASP calculation (PBE) on an optimized crystal structure of DyCd2Pt.

Cell: 5.024 4.144 4.144 Å, 90.00 90.00 90.00°
Fractional coordinates of all 4 atoms:
Dy  0.500  0.000  0.000
Pt  0.500  0.500  0.500
Cd  0.000  0.500  0.000
Cd  0.000  0.000  0.500

Energy   -14.5 eV for the cell shown
Fermi-level density of states   2.1 states/eV/f.u.
E_form   -0.509 eV/atom
Magnetization   0.0 μB per cell


VASP calculation (PBE) on an optimized crystal structure of MoH2Cl8.

Cell: 7.025 6.913 9.755 Å, 117.85 90.00 120.54°
Fractional coordinates of all 11 atoms:
H  0.768  0.537  0.541
H  0.232  0.463  0.459
Cl  0.639  0.278  0.450
Cl  0.394  0.326  0.111
Cl  0.004  0.007  0.763
Cl  0.361  0.722  0.550
Cl  0.932  0.326  0.111
Cl  0.606  0.674  0.889
Cl  0.996  0.993  0.237
Cl  0.068  0.674  0.889
Mo  0.000  0.000  0.000

Energy   -39.4 eV for the cell shown
Energy relative to the lowest polymorph listed for this composition   0.00 eV per formula unit
Magnetization   0.0 μB per cell


VASP calculation (PBE) on an optimized crystal structure of Lu2Te3.

Cell: 4.869 4.869 18.033 Å, 90.00 90.00 120.00°
Fractional coordinates of all 10 atoms:
Te  0.667  0.333  0.080
Te  0.000  0.000  0.750
Te  0.333  0.667  0.920
Te  0.333  0.667  0.580
Te  0.667  0.333  0.420
Te  0.000  0.000  0.250
Lu  0.667  0.333  0.250
Lu  0.333  0.667  0.750
Lu  0.000  0.000  0.000
Lu  0.000  0.000  0.500

Energy   -48.1 eV for the cell shown
Fermi-level density of states   0.0 states/eV/f.u.
ΔE_f (raw)   -107.7 kJ/mol of atoms
Magnetization   0.0 μB per cell


VASP calculation (PBE) on an optimized crystal structure of Ca2ZnAgAu6.

Cell: 7.091 7.091 7.091 Å, 60.00 60.00 90.00°
Fractional coordinates of all 10 atoms:
Au  0.742  0.742  0.000
Au  0.742  0.258  0.000
Au  0.258  0.258  0.485
Au  0.258  0.742  0.000
Au  0.742  0.742  0.515
Au  0.258  0.258  0.000
Ca  0.250  0.750  0.500
Ca  0.750  0.250  0.500
Zn  0.500  0.500  0.000
Ag  0.000  0.000  0.000

Energy   -29.0 eV for the cell shown
Fermi-level density of states   4.2 states/eV/f.u.
E_form   -0.120 eV/atom
Magnetization   0.0 μB per cell


VASP calculation (PBE) on an optimized crystal structure of Dy8YBi6.

Cell: 7.654 7.654 10.784 Å, 69.22 69.22 60.00°
Fractional coordinates of all 15 atoms:
Bi  0.728  0.396  0.813
Bi  0.604  0.938  0.187
Bi  0.396  0.062  0.813
Bi  0.062  0.728  0.813
Bi  0.938  0.272  0.187
Bi  0.272  0.604  0.187
Dy  0.667  0.667  0.000
Dy  0.121  0.454  0.636
Dy  0.454  0.788  0.636
Dy  0.333  0.333  0.000
Dy  0.788  0.121  0.636
Dy  0.879  0.546  0.364
Dy  0.212  0.879  0.364
Dy  0.546  0.212  0.364
Y  0.000  0.000  0.000

Energy   -74.3 eV for the cell shown
Fermi-level density of states   9.4 states/eV/f.u.
E_form   -0.519 eV/atom
Magnetization   0.0 μB per cell


magnetization of number 8 (Dy8YBi6)? 0.0 μB per cell